Density functional theory data (PBE-GGA) for a geometry-optimized Pm4Pr4Sm structure.

abc: 5.2046 6.3722 11.0185
angles: 95.47 103.62 114.06
Closest atoms and distances in Å follow each position.
Sites, in units of the cell vectors:
Pm 0.0560 0.3890 0.2228  3 Pm 3.66-3.68, 7 Pr 3.67-3.69, 2 Sm 3.68
Pm 0.3882 0.7216 0.5548  6 Pm 3.66-3.68, 6 Pr 3.67-3.69
Pm 0.6118 0.2784 0.4452  6 Pm 3.66-3.68, 6 Pr 3.67-3.69
Pm 0.9440 0.6110 0.7772  3 Pm 3.66-3.68, 7 Pr 3.67-3.69, 2 Sm 3.68
Pr 0.1672 0.1675 0.6670  8 Pm 3.67-3.69, 1 Sm 3.67, 3 Pr 3.68-3.69
Pr 0.2776 0.9444 0.1108  4 Pr 3.67-3.68, 3 Sm 3.68, 5 Pm 3.68-3.69
Pr 0.7224 0.0556 0.8892  4 Pr 3.67-3.68, 3 Sm 3.68, 5 Pm 3.68-3.69
Pr 0.8328 0.8325 0.3330  8 Pm 3.67-3.69, 1 Sm 3.67, 3 Pr 3.68-3.69
Sm 0.5000 0.5000 0.0000  8 Pr 3.67-3.68, 4 Pm 3.68

Symmetry: P-1 (2)
Formation enthalpy at 0 K: 0.014 eV per atom


Density functional theory data (PBE-GGA) for a geometry-optimized La2CdSe structure.

abc: 7.6583 7.6583 7.6583
angles: 90.00 90.00 90.00
Closest atoms and distances in Å follow each position.
Sites, in units of the cell vectors:
La 0.2500 0.2500 0.2500  4 Cd 3.32, 4 Se 3.32
La 0.2500 0.2500 0.7500  4 Cd 3.32, 4 Se 3.32
La 0.2500 0.7500 0.2500  4 Cd 3.32, 4 Se 3.32
La 0.2500 0.7500 0.7500  4 Cd 3.32, 4 Se 3.32
La 0.7500 0.2500 0.2500  4 Cd 3.32, 4 Se 3.32
La 0.7500 0.2500 0.7500  4 Cd 3.32, 4 Se 3.32
La 0.7500 0.7500 0.2500  4 Cd 3.32, 4 Se 3.32
La 0.7500 0.7500 0.7500  4 Se 3.32, 4 Cd 3.32
Cd 0.0000 0.0000 0.0000  8 La 3.32
Cd 0.0000 0.5000 0.5000  8 La 3.32
Cd 0.5000 0.0000 0.5000  8 La 3.32
Cd 0.5000 0.5000 0.0000  8 La 3.32
Se 0.0000 0.0000 0.5000  8 La 3.32
Se 0.0000 0.5000 0.0000  8 La 3.32
Se 0.5000 0.0000 0.0000  8 La 3.32
Se 0.5000 0.5000 0.5000  8 La 3.32

ΔE to the lowest computed polymorph: 281 meV/atom
Raw formation energy: -3.1 eV/f.u.
Symmetry: Fm-3m (225)


Density functional theory data (PBE-GGA) for a geometry-optimized Ga2SiPd structure.

abc: 4.0133 8.2776 4.5564
angles: 90.00 115.66 90.00
Closest atoms and distances in Å follow each position.
Sites, in units of the cell vectors:
Ga 0.1461 0.0370 0.2871  2 Ga 2.44-2.73, 1 Si 2.67, 2 Pd 2.69-2.70
Ga 0.1461 0.4630 0.2871  2 Ga 2.44-2.73, 1 Si 2.67, 2 Pd 2.69-2.70
Ga 0.8539 0.5370 0.7129  2 Ga 2.44-2.73, 1 Si 2.67, 2 Pd 2.69-2.70
Ga 0.8539 0.9630 0.7129  2 Ga 2.44-2.73, 1 Si 2.67, 2 Pd 2.69-2.70
Si 0.3837 0.2500 0.7739  3 Pd 2.48-2.58, 2 Ga 2.67
Si 0.6163 0.7500 0.2261  3 Pd 2.48-2.58, 2 Ga 2.67
Pd 0.3104 0.7500 0.6221  3 Si 2.48-2.58, 6 Ga 2.69-2.75
Pd 0.6896 0.2500 0.3779  3 Si 2.48-2.58, 6 Ga 2.69-2.75

Raw formation energy: -0.7 eV/f.u.
Symmetry: P2_1/m (11)


Density functional theory data (PBE-GGA) for a geometry-optimized RbLiCuHg2 structure.

abc: 5.2354 5.2354 5.1679
angles: 90.00 90.00 90.00
Closest atoms and distances in Å follow each position.
Sites, in units of the cell vectors:
Rb 0.0000 0.0000 0.0000  8 Hg 3.68, 4 Li 3.70
Li 0.5000 0.5000 0.0000  2 Cu 2.58
Cu 0.5000 0.5000 0.5000  2 Li 2.58, 4 Hg 2.62
Hg 0.0000 0.5000 0.5000  2 Cu 2.62
Hg 0.5000 0.0000 0.5000  2 Cu 2.62

Symmetry: P4/mmm (123)
Formation enthalpy at 0 K: -0.041 eV per atom


E? In order: -4.75; -4.34; -4.34; -1.56 eV/atom.